Computed, not measured: a relaxed Ta2Nb8Ru3 crystal at the GGA-PBE level of DFT.

Calculated values
* size of the total moment: 0.00 μB/atom
* DFT formation energy: 0.330 eV/atom

Structure (POSCAR):
```
Ta2Nb8Ru3
1.0
6.164 -3.558 0.000
6.164 3.558 0.000
-0.861 0.000 5.484
Ta Nb Ru
2 8 3
direct
0.199 0.199 0.257
0.801 0.801 0.743
0.192 0.192 0.764
0.205 0.569 0.572
0.398 0.398 0.082
0.431 0.795 0.428
0.569 0.205 0.572
0.602 0.602 0.918
0.795 0.431 0.428
0.808 0.808 0.236
0.000 0.000 0.500
0.185 0.815 0.000
0.815 0.185 0.000
```

Computed, not measured: a relaxed La3Ni5C2 crystal at the GGA-PBE level of DFT.

Calculated values
* size of the total moment: 0.00 μB/atom
* DFT formation energy: -0.094 eV/atom

Structure (POSCAR):
```
La3Ni5C2
1.0
-3.275 7.466 3.611
3.275 -7.466 3.611
3.275 7.466 -3.611
La Ni C
6 10 4
direct
0.172 0.645 0.817
0.250 0.250 0.000
0.328 0.145 0.473
0.672 0.855 0.527
0.750 0.750 0.000
0.828 0.355 0.183
0.070 0.250 0.820
0.080 0.287 0.367
0.250 0.750 0.500
0.420 0.787 0.207
0.430 0.250 0.180
0.570 0.750 0.820
0.580 0.213 0.793
0.750 0.250 0.500
0.920 0.713 0.633
0.930 0.750 0.180
0.153 0.049 0.202
0.347 0.549 0.896
0.653 0.451 0.104
0.847 0.951 0.798
```

Computed, not measured: a relaxed TmBeAl2Pt4 crystal at the GGA-PBE level of DFT.

Calculated values
* size of the total moment: 0.00 μB/atom
* DFT formation energy: -1.035 eV/atom

Structure (POSCAR):
```
TmBeAl2Pt4
1.0
2.120 1.224 8.243
-2.120 1.224 8.243
0.000 -2.448 8.243
Tm Be Al Pt
1 1 2 4
direct
0.000 0.000 0.000
0.500 0.500 0.500
0.242 0.242 0.242
0.758 0.758 0.758
0.136 0.136 0.136
0.404 0.404 0.404
0.596 0.596 0.596
0.864 0.864 0.864
```

Computed, not measured: a relaxed SmDyEr4S8 crystal at the GGA-PBE level of DFT.

Calculated values
* energy relative to the elements, uncorrected: -1924 meV/atom
* size of the total moment: 0.00 μB/atom

Structure (POSCAR):
```
SmDyEr4S8
1.0
4.010 2.315 6.567
-4.010 2.315 6.567
0.000 -4.630 6.567
Sm Dy Er S
1 1 4 8
direct
0.000 0.000 0.000
0.625 0.625 0.625
0.127 0.625 0.625
0.251 0.251 0.251
0.625 0.127 0.625
0.625 0.625 0.127
0.381 0.381 0.855
0.381 0.855 0.381
0.383 0.383 0.383
0.406 0.867 0.867
0.855 0.381 0.381
0.865 0.865 0.865
0.867 0.406 0.867
0.867 0.867 0.406
```

Computed, not measured: a relaxed CaNd2Pd2 crystal at the GGA-PBE level of DFT.

Calculated values
* size of the total moment: 0.00 μB/atom
* DFT formation energy: -0.566 eV/atom
* excess energy over the best structure of this formula in the dataset: 80.8 meV/atom

Structure (POSCAR):
```
CaNd2Pd2
1.0
5.078 0.000 0.000
2.525 7.532 0.000
2.527 2.404 7.151
Ca Nd Pd
2 4 4
direct
0.250 0.250 0.250
0.750 0.750 0.750
0.088 0.745 0.078
0.412 0.755 0.421
0.588 0.245 0.579
0.912 0.255 0.922
0.158 0.009 0.675
0.342 0.491 0.825
0.658 0.509 0.175
0.842 0.991 0.325
```

Computed, not measured: a relaxed Pm2EuPb crystal at the GGA-PBE level of DFT.

Calculated values
* size of the total moment: 1.89 μB/atom
* DFT formation energy: -0.211 eV/atom
* excess energy over the best structure of this formula in the dataset: 92.7 meV/atom

Structure (POSCAR):
```
Pm2EuPb
1.0
4.283 0.000 0.000
0.000 4.283 0.000
0.000 0.000 7.085
Pm Eu Pb
2 1 1
direct
0.000 0.000 0.224
0.000 0.000 0.776
0.500 0.500 0.500
0.500 0.500 0.000
```

Computed, not measured: a relaxed KLa2Zn crystal at the GGA-PBE level of DFT.

Calculated values
* size of the total moment: 0.00 μB/atom
* DFT formation energy: 0.332 eV/atom
* excess energy over the best structure of this formula in the dataset: 316.7 meV/atom

Structure (POSCAR):
```
KLa2Zn
1.0
-4.559 4.559 3.450
4.559 -4.559 3.450
4.559 4.559 -3.450
K La Zn
2 4 2
direct
0.000 0.000 0.000
0.750 0.250 0.500
0.173 0.625 0.048
0.375 0.423 0.548
0.577 0.125 0.952
0.875 0.827 0.452
0.250 0.750 0.500
0.500 0.500 0.000
```

Computed, not measured: a relaxed Tl2Sb2Se crystal at the GGA-PBE level of DFT.

Calculated values
* energy relative to the elements, uncorrected: 15 meV/atom
* size of the total moment: 0.00 μB/atom
* excess energy over the best structure of this formula in the dataset: 0.0 meV/atom

Structure (POSCAR):
```
Tl2Sb2Se
1.0
-2.082 2.082 9.464
2.082 -2.082 9.464
2.082 2.082 -9.464
Tl Sb Se
2 2 1
direct
0.086 0.086 0.000
0.914 0.914 0.000
0.250 0.750 0.500
0.750 0.250 0.500
0.500 0.500 0.000
```

Computed, not measured: a relaxed BaCaBr2 crystal at the GGA-PBE level of DFT.

Calculated values
* energy relative to the elements, uncorrected: -1402 meV/atom
* size of the total moment: 0.00 μB/atom
* excess energy over the best structure of this formula in the dataset: 42.3 meV/atom

Structure (POSCAR):
```
BaCaBr2
1.0
3.769 -2.180 0.000
3.769 2.180 0.000
-2.517 0.000 8.190
Ba Ca Br
1 1 2
direct
0.000 0.000 0.000
0.500 0.500 0.500
0.231 0.231 0.694
0.769 0.769 0.306
```

Computed, not measured: a relaxed TlIn2P crystal at the GGA-PBE level of DFT.

Calculated values
* size of the total moment: 0.00 μB/atom
* DFT formation energy: 0.086 eV/atom
* excess energy over the best structure of this formula in the dataset: 96.7 meV/atom

Structure (POSCAR):
```
TlIn2P
1.0
5.910 -1.919 0.000
5.910 1.919 0.000
-2.169 0.000 4.735
Tl In P
1 2 1
direct
0.000 0.000 0.000
0.614 0.614 0.622
0.805 0.805 0.273
0.281 0.281 0.607
```

Computed, not measured: a relaxed La2SiAu2 crystal at the GGA-PBE level of DFT.

Calculated values
* energy relative to the elements, uncorrected: -452 meV/atom
* size of the total moment: 0.00 μB/atom
* excess energy over the best structure of this formula in the dataset: 179.0 meV/atom

Structure (POSCAR):
```
La2SiAu2
1.0
8.396 0.000 0.000
0.000 8.396 0.000
0.000 0.000 3.906
La Si Au
4 2 4
direct
0.176 0.324 0.000
0.324 0.824 0.000
0.676 0.176 0.000
0.824 0.676 0.000
0.000 0.000 0.000
0.500 0.500 0.000
0.123 0.623 0.500
0.377 0.123 0.500
0.623 0.877 0.500
0.877 0.377 0.500
```

Computed, not measured: a relaxed CaCu3Ge crystal at the GGA-PBE level of DFT.

Calculated values
* size of the total moment: 0.00 μB/atom
* DFT formation energy: 1.306 eV/atom
* excess energy over the best structure of this formula in the dataset: 1506.7 meV/atom

Structure (POSCAR):
```
CaCu3Ge
1.0
4.959 0.000 0.000
0.000 4.959 0.000
0.000 0.000 4.959
Ca Cu Ge
1 3 1
direct
0.000 0.000 0.000
0.000 0.000 0.500
0.000 0.500 0.000
0.500 0.000 0.000
0.500 0.500 0.500
```

Computed, not measured: a relaxed PmGdNiGe crystal at the GGA-PBE level of DFT.

Calculated values
* size of the total moment: 1.82 μB/atom
* DFT formation energy: -0.492 eV/atom

Structure (POSCAR):
```
PmGdNiGe
1.0
0.000 3.548 3.548
3.548 0.000 3.548
3.548 3.548 0.000
Pm Gd Ni Ge
1 1 1 1
direct
0.000 0.000 0.000
0.500 0.500 0.500
0.750 0.750 0.750
0.250 0.250 0.250
```

Computed, not measured: a relaxed SiMoRu crystal at the GGA-PBE level of DFT.

Calculated values
* energy relative to the elements, uncorrected: -353 meV/atom
* size of the total moment: 0.00 μB/atom

Structure (POSCAR):
```
SiMoRu
1.0
4.172 0.000 0.000
-2.086 3.613 0.000
0.000 0.000 2.818
Si Mo Ru
1 1 1
direct
0.000 0.000 0.000
0.333 0.667 0.500
0.667 0.333 0.000
```

Computed, not measured: a relaxed Ta2CdAs crystal at the GGA-PBE level of DFT.

Calculated values
* size of the total moment: 0.00 μB/atom
* DFT formation energy: 0.395 eV/atom
* excess energy over the best structure of this formula in the dataset: 362.9 meV/atom

Structure (POSCAR):
```
Ta2CdAs
1.0
0.000 3.296 3.296
3.296 0.000 3.296
3.296 3.296 0.000
Ta Cd As
2 1 1
direct
0.250 0.250 0.250
0.750 0.750 0.750
0.000 0.000 0.000
0.500 0.500 0.500
```

Computed, not measured: a relaxed Sm5Y12Mg crystal at the GGA-PBE level of DFT.

Calculated values
* size of the total moment: 0.00 μB/atom
* DFT formation energy: 0.023 eV/atom

Structure (POSCAR):
```
Sm5Y12Mg
1.0
7.574 -7.575 0.000
7.574 7.575 0.000
0.000 0.000 5.069
Sm Y Mg
5 12 1
direct
0.000 0.000 0.000
0.166 0.166 0.500
0.331 0.331 0.000
0.669 0.669 0.000
0.834 0.834 0.500
0.000 0.336 0.000
0.000 0.664 0.000
0.166 0.834 0.500
0.171 0.501 0.500
0.333 0.667 0.000
0.336 0.000 0.000
0.499 0.829 0.500
0.501 0.171 0.500
0.664 0.000 0.000
0.667 0.333 0.000
0.829 0.499 0.500
0.834 0.166 0.500
0.500 0.500 0.500
```

Computed, not measured: a relaxed Mn4VGe2 crystal at the GGA-PBE level of DFT.

Calculated values
* size of the total moment: 0.05 μB/atom
* DFT formation energy: -0.020 eV/atom
* excess energy over the best structure of this formula in the dataset: 0.0 meV/atom

Structure (POSCAR):
```
Mn4VGe2
1.0
-1.388 2.039 7.811
1.388 -2.039 7.811
1.388 2.039 -7.811
Mn V Ge
4 1 2
direct
0.134 0.134 0.000
0.262 0.762 0.500
0.738 0.238 0.500
0.866 0.866 0.000
0.000 0.500 0.500
0.397 0.397 0.000
0.603 0.603 0.000
```

Computed, not measured: a relaxed LiPaTc crystal at the GGA-PBE level of DFT.

Calculated values
* size of the total moment: 0.00 μB/atom
* DFT formation energy: 0.030 eV/atom

Structure (POSCAR):
```
LiPaTc
1.0
2.588 -2.627 0.000
2.588 2.627 0.000
-1.270 0.000 9.735
Li Pa Tc
2 2 2
direct
0.230 0.230 0.413
0.770 0.770 0.587
0.323 0.323 0.824
0.677 0.677 0.176
0.165 0.165 0.129
0.835 0.835 0.871
```

Computed, not measured: a relaxed La2AlSe crystal at the GGA-PBE level of DFT.

Calculated values
* energy relative to the elements, uncorrected: -450 meV/atom
* size of the total moment: 0.00 μB/atom
* excess energy over the best structure of this formula in the dataset: 719.4 meV/atom

Structure (POSCAR):
```
La2AlSe
1.0
1.899 1.096 9.355
-1.899 1.096 9.355
0.000 -2.193 9.355
La Al Se
2 1 1
direct
0.000 0.000 0.000
0.228 0.228 0.228
0.470 0.470 0.470
0.748 0.748 0.748
```

Computed, not measured: a relaxed Be2CdSi crystal at the GGA-PBE level of DFT.

Calculated values
* energy relative to the elements, uncorrected: 792 meV/atom
* size of the total moment: 0.00 μB/atom
* excess energy over the best structure of this formula in the dataset: 386.4 meV/atom

Structure (POSCAR):
```
Be2CdSi
1.0
0.000 3.088 3.088
3.088 0.000 3.088
3.088 3.088 0.000
Be Cd Si
2 1 1
direct
0.000 0.000 0.000
0.250 0.250 0.250
0.750 0.750 0.750
0.500 0.500 0.500
```